(1)
An optimized crystal structure of Y3AsPb. Source: Alexandria via LeMat-Bulk, functional PBE.

Output
Energy relative to the elements = -0.6115 eV per atom
Total moment = 0.00 Bohr magnetons per cell
Relative energy among the computed polymorphs = 0.0 meV/atom
SG = Pm-3m, No. 221
E_tot = -0.4529 Ry/atom

Geometry as extended XYZ:
```
5
Lattice="5.375 0.000 0.000 0.000 5.375 0.000 0.000 0.000 5.375" Properties=species:S:1:pos:R:3 pbc="T T T"
Y 0.000 0.000 2.687
Y 0.000 2.687 0.000
Y 2.687 0.000 0.000
As 0.000 0.000 0.000
Pb 2.687 2.687 2.687
```

(2)
An optimized crystal structure of TbCePaN3. Source: Alexandria via LeMat-Bulk, functional PBE.

Output
Energy relative to the elements, uncorrected = -1415 meV per atom
Total moment = 1.17 Bohr magnetons per cell
SG = P2_1/m, No. 11
E_tot = -0.6557 Ry/atom

Geometry as extended XYZ:
```
12
Lattice="6.080 0.000 0.000 0.000 3.495 0.000 -1.896 0.000 8.915" Properties=species:S:1:pos:R:3 pbc="T T T"
Tb 0.572 0.874 4.085
Tb 3.612 2.621 4.830
Ce 0.615 2.621 7.240
Ce 3.569 0.874 1.675
Pa 0.532 2.621 1.299
Pa 3.652 0.874 7.616
N -1.002 0.874 5.895
N 1.604 0.874 0.066
N 2.116 2.621 2.927
N 2.068 0.874 5.988
N 2.580 2.621 8.849
N 5.186 2.621 3.020
```

(3)
An optimized crystal structure of Mg2NbTc3N6. Source: Alexandria via LeMat-Bulk, functional PBE.

Output
Energy relative to the elements, uncorrected = -374 meV per atom
Total moment = 0.00 Bohr magnetons per cell
SG = C2/m, No. 12
E_tot = -0.6051 Ry/atom

Geometry as extended XYZ:
```
12
Lattice="2.626 -4.644 0.000 2.626 4.644 0.000 -1.763 0.000 4.938" Properties=species:S:1:pos:R:3 pbc="T T T"
Mg 2.626 3.042 0.000
Mg 2.626 -3.042 0.000
Nb 2.626 0.000 0.000
Tc -0.882 0.000 2.469
Tc 1.744 1.311 2.469
Tc 1.744 -1.311 2.469
N -0.022 1.615 3.635
N 0.786 0.000 1.148
N -0.022 -1.615 3.635
N 3.510 1.615 1.303
N 2.702 0.000 3.790
N 3.510 -1.615 1.303
```

(4)
An optimized crystal structure of ThNpC. Source: Alexandria via LeMat-Bulk, functional PBE.

Output
Energy relative to the elements = 0.1369 eV per atom
Total moment = 4.32 Bohr magnetons per cell
Relative energy among the computed polymorphs = 0.0 meV/atom
SG = P3m1, No. 156
E_tot = -0.7147 Ry/atom

Geometry as extended XYZ:
```
3
Lattice="3.490 0.000 0.000 -1.745 3.022 0.000 0.000 0.000 6.284" Properties=species:S:1:pos:R:3 pbc="T T T"
Th 0.000 0.000 0.000
Np 0.000 2.015 3.350
C 1.745 1.007 4.705
```

(5)
An optimized crystal structure of Pa2HgS4. Source: Alexandria via LeMat-Bulk, functional PBE.

Output
Energy relative to the elements, uncorrected = -1300 meV per atom
Total moment = 3.87 Bohr magnetons per cell
SG = Ima2, No. 46
E_tot = -0.4715 Ry/atom

Geometry as extended XYZ:
```
14
Lattice="-3.920 6.532 3.485 3.920 -6.532 3.485 3.920 6.532 -3.485" Properties=species:S:1:pos:R:3 pbc="T T T"
Pa 0.000 0.000 0.000
Pa 3.920 0.000 0.000
Pa 1.960 3.948 0.686
Pa 1.960 2.584 4.170
Hg 1.960 -2.029 1.720
Hg 5.879 2.029 1.720
S 3.847 2.646 -0.825
S 3.993 -3.887 2.659
S 5.879 -1.248 1.658
S 1.960 1.248 1.658
S 0.073 3.887 2.659
S 3.847 3.887 2.659
S 1.960 6.532 1.590
S 1.960 0.000 5.075
```

(6)
An optimized crystal structure of BaSmSe2O8. Source: Alexandria via LeMat-Bulk, functional PBE.

Output
Energy relative to the elements, uncorrected = -1635 meV per atom
Total moment = 0.00 Bohr magnetons per cell
SG = P-3, No. 147
E_tot = -0.4465 Ry/atom

Geometry as extended XYZ:
```
12
Lattice="5.836 0.000 0.000 -2.918 5.055 0.000 0.000 0.000 7.864" Properties=species:S:1:pos:R:3 pbc="T T T"
Ba 0.000 0.000 0.000
Sm 0.000 0.000 3.932
Se 0.000 3.370 6.013
Se 2.918 1.685 1.851
O -0.015 1.691 5.519
O -1.447 4.222 5.519
O 0.000 3.370 7.686
O 1.457 0.858 2.345
O 1.462 4.196 5.519
O 2.918 1.685 0.178
O 4.365 0.832 2.345
O 2.933 3.364 2.345
```

(7)
An optimized crystal structure of ScNbCu2C. Source: Alexandria via LeMat-Bulk, functional PBE.

Output
Energy relative to the elements = 2.5395 eV per atom
Total moment = 0.00 Bohr magnetons per cell
SG = P4/mmm, No. 123
E_tot = -0.3105 Ry/atom

Geometry as extended XYZ:
```
5
Lattice="4.494 0.000 0.000 0.000 4.494 0.000 0.000 0.000 4.845" Properties=species:S:1:pos:R:3 pbc="T T T"
Sc 0.000 0.000 0.000
Nb 0.000 0.000 2.422
Cu 0.000 2.247 0.000
Cu 2.247 0.000 0.000
C 2.247 2.247 2.422
```

(8)
An optimized crystal structure of Tb6Zn3Cu. Source: Alexandria via LeMat-Bulk, functional PBE.

Output
Energy relative to the elements = -0.1971 eV per atom
Total moment = 0.00 Bohr magnetons per cell
SG = P2_1/m, No. 11
E_tot = -0.2769 Ry/atom

Geometry as extended XYZ:
```
20
Lattice="9.209 0.000 0.000 0.000 4.995 0.000 -3.922 0.000 10.675" Properties=species:S:1:pos:R:3 pbc="T T T"
Tb -1.395 1.249 4.245
Tb 0.702 3.746 1.979
Tb 2.083 1.249 0.093
Tb 0.077 3.746 9.070
Tb 0.930 1.249 6.797
Tb 2.145 1.249 3.784
Tb 3.142 3.746 6.891
Tb 4.357 3.746 3.877
Tb 5.210 1.249 1.604
Tb 3.204 3.746 10.582
Tb 4.585 1.249 8.696
Tb 6.682 3.746 6.430
Zn -3.095 3.746 9.415
Zn -1.763 1.249 7.804
Zn 0.549 3.746 5.074
Zn 4.738 1.249 5.601
Zn 7.050 3.746 2.870
Zn 8.382 1.249 1.260
Cu 3.437 3.746 1.253
Cu 1.850 1.249 9.421
```